Below is an optimized crystal structure of AcPmTeAs, with properties calculated at the PBE-GGA level.

Results
- ΔE to the lowest computed polymorph (eV per atom) = 0.0000
- raw formation energy (eV/atom) = -1.538

POSCAR file:
```
AcPmTeAs
1.0
-4.139 -1.221 -1.076
-0.661 -3.374 -2.822
-1.682 -6.350 4.481
As Ac Pm Te
1 1 1 1
direct
0.244 0.244 0.267 As
0.991 0.991 0.028 Ac
0.509 0.509 0.472 Pm
0.755 0.755 0.734 Te
```

=====

Below is an optimized crystal structure of Hf2MoPtN, with properties calculated at the PBE-GGA level.

Results
- ΔE to the lowest computed polymorph (eV per atom) = 0.0000
- raw formation energy (eV/atom) = -0.943

POSCAR file:
```
Hf2MoPtN
1.0
4.458 0.000 0.000
0.000 4.458 0.000
0.000 0.000 3.978
Hf N Pt Mo
2 1 1 1
direct
0.500 0.000 0.000 Hf
0.000 0.500 0.000 Hf
0.000 0.000 0.000 N
0.500 0.500 0.500 Pt
0.000 0.000 0.500 Mo
```

=====

Below is an optimized crystal structure of Sc2TcSb, with properties calculated at the PBE-GGA level.

Results
- raw formation energy (eV/atom) = -0.469

POSCAR file:
```
Sc2TcSb
1.0
3.767 0.000 0.000
0.000 4.527 0.000
0.000 0.000 4.527
Sc Sb Tc
2 1 1
direct
0.000 0.500 0.000 Sc
0.000 0.000 0.500 Sc
0.500 0.000 0.000 Sb
0.500 0.500 0.500 Tc
```

=====

Below is an optimized crystal structure of ZrBePd2Ru, with properties calculated at the PBE-GGA level.

Results
- DFT total energy (eV/atom) = -4.909

POSCAR file:
```
ZrBePd2Ru
1.0
4.805 0.000 0.000
0.000 4.805 0.000
0.000 0.000 4.551
Zr Be Pd Ru
1 1 2 1
direct
0.000 0.000 0.000 Zr
0.000 0.000 0.500 Be
0.000 0.500 0.000 Pd
0.500 0.000 0.000 Pd
0.500 0.500 0.500 Ru
```

=====

Below is an optimized crystal structure of Ba4Hg5Au2, with properties calculated at the PBE-GGA level.

Results
- DFT total energy (eV/atom) = -1.977

POSCAR file:
```
Ba4Hg5Au2
1.0
-1.544 2.028 3.681
-7.660 -2.582 -1.790
1.285 -8.660 5.310
Au Hg Ba
2 5 4
direct
0.000 0.068 0.627 Au
0.000 0.932 0.373 Au
0.000 0.576 0.359 Hg
0.000 0.861 0.878 Hg
0.000 0.139 0.122 Hg
0.000 0.424 0.641 Hg
0.000 0.500 0.000 Hg
0.500 0.758 0.608 Ba
0.500 0.242 0.392 Ba
0.500 0.786 0.145 Ba
0.500 0.214 0.855 Ba
```

=====

Below is an optimized crystal structure of Na4Sr3Ca, with properties calculated at the PBE-GGA level.

Results
- DFT total energy (eV/atom) = -1.502

POSCAR file:
```
Na4Sr3Ca
1.0
-2.797 -0.386 3.427
-2.726 -2.455 -2.501
8.477 -14.768 5.259
Sr Na Ca
3 4 1
direct
0.500 0.500 0.757 Sr
0.500 0.500 0.243 Sr
0.500 0.500 0.500 Sr
0.000 0.000 0.628 Na
0.000 0.000 0.114 Na
0.000 0.000 0.372 Na
0.000 0.000 0.886 Na
0.500 0.500 0.000 Ca
```

=====

Number 1: DOS(E_F) 1.69 states/eV/f.u., M_tot 0.0000 μB per atom. Number 2: DOS(E_F) 2.69 states/eV/f.u., M_tot 0.0000 μB per atom. Number 3: DOS(E_F) 2.54 states/eV/f.u., M_tot 0.0000 μB per atom. Number 4: DOS(E_F) 5.53 states/eV/f.u., M_tot 0.4123 μB per atom. Number 5: DOS(E_F) 8.10 states/eV/f.u., M_tot 0.0000 μB per atom. Number 6: DOS(E_F) 6.43 states/eV/f.u., M_tot 0.0000 μB per atom.